(1)
ZrTi2SbO: optimized geometry, PBE.

```
ZrTi2SbO
1.0
4.168 0.000 0.000
0.000 4.168 0.000
0.000 0.000 4.632
Zr Ti Sb O
1 2 1 1
Direct
0.000 0.000 0.000
0.000 0.500 0.500
0.500 0.000 0.500
0.500 0.500 0.000
0.000 0.000 0.500
```

Its density of states at the Fermi level is 1.17 states/eV/atom. For the energy above the lowest structure with this stoichiometry, the calculation gives 0 meV/atom. The calculation puts the energy relative to the elements, uncorrected at -1179.4 meV per atom.

=====

(2)
Na2AsPb: optimized geometry, PBE.

```
Na2AsPb
1.0
4.598 0.000 0.000
0.000 4.598 0.000
0.000 0.000 4.655
Na As Pb
2 1 1
Direct
0.000 0.500 0.000
0.500 0.000 0.000
0.000 0.000 0.500
0.500 0.500 0.500
```

Its density of states at the Fermi level is 0.25 states/eV/atom. As for the formation energy: -0.222 eV/atom. For the energy above the lowest structure with this stoichiometry, the calculation gives 52 meV/atom.

=====

(3)
La2BMoSe: optimized geometry, PBE.

```
La2BMoSe
1.0
5.648 0.000 0.000
0.000 5.648 0.000
0.000 0.000 4.575
La B Mo Se
2 1 1 1
Direct
0.000 0.500 0.000
0.500 0.000 0.000
0.000 0.000 0.500
0.500 0.500 0.500
0.500 0.500 0.000
```

Its density of states at the Fermi level is 1.09 states/eV/atom. The calculation puts the energy relative to the elements, uncorrected at 695.5 meV per atom.